The following is a DFT calculation (GGA-PBE) of a relaxed HgBiBr crystal.

Cell: 7.5015 7.5514 6.6525 Å, 94.20 90.00 90.00°
Element x y z (fractional)
Br1 0.5720 0.3947 0.7428
Br2 0.0720 0.6053 0.7572
Br3 0.4280 0.6053 0.2572
Br4 0.9280 0.3947 0.2428
Bi1 0.1374 0.1661 0.5269
Bi2 0.6374 0.8339 0.9731
Bi3 0.8626 0.8339 0.4731
Bi4 0.3626 0.1661 0.0269
Hg1 0.3756 0.8610 0.6130
Hg2 0.8756 0.1390 0.8870
Hg3 0.6244 0.1390 0.3870
Hg4 0.1244 0.8610 0.1130

Output
DFT total energy = -2.098 eV per atom
Space-group type = P2_1/c (14)


The following is a DFT calculation (GGA-PBE) of a relaxed VNi8Pt6 crystal.

Cell: 7.1569 7.1569 6.1030 Å, 54.10 54.10 60.00°
Site moments in Bohr magnetons follow the coordinates.
Element x y z (fractional)
V1 0.0000 0.0000 0.0000  -0.17
Ni1 0.6257 0.1285 0.2885  0.22
Ni2 0.8715 0.0427 0.7115  0.22
Ni3 0.0427 0.3743 0.7115  0.22
Ni4 0.7623 0.7623 0.7130  0.57
Ni5 0.2377 0.2377 0.2870  0.57
Ni6 0.9573 0.6257 0.2885  0.22
Ni7 0.1285 0.9573 0.2885  0.22
Ni8 0.3743 0.8715 0.7115  0.22
Pt1 0.4329 0.1719 0.7712  0.14
Pt2 0.8281 0.3760 0.2288  0.14
Pt3 0.3760 0.5671 0.2288  0.14
Pt4 0.6240 0.4329 0.7712  0.14
Pt5 0.1719 0.6240 0.7712  0.14
Pt6 0.5671 0.8281 0.2288  0.14

Output
E_form = 0.2 eV per formula unit
Space-group type = R-3 (148)


The following is a DFT calculation (GGA-PBE) of a relaxed KCd2Sn2 crystal.

Cell: 4.8106 4.8106 12.8500 Å, 90.00 90.00 90.00°
Element x y z (fractional)
K1 0.5000 0.0000 0.2540
K2 0.0000 0.5000 0.7460
Cd1 0.5000 0.5000 0.5000
Cd2 0.0000 0.0000 0.5000
Cd3 0.0000 0.5000 0.1444
Cd4 0.5000 0.0000 0.8556
Sn1 0.0000 0.5000 0.3652
Sn2 0.5000 0.0000 0.6348
Sn3 0.5000 0.5000 0.0000
Sn4 0.0000 0.0000 0.0000

Output
E_form = -0.8 eV per formula unit
Space-group type = P4/nmm (129)


The following is a DFT calculation (GGA-PBE) of a relaxed ZrHg2Br crystal.

Cell: 9.3590 9.3590 7.1363 Å, 49.02 49.02 90.00°
Element x y z (fractional)
Br1 0.5000 0.5000 0.0000
Br2 0.2500 0.7500 0.5000
Hg1 0.7001 0.1250 0.2500
Hg2 0.0499 0.6250 0.2500
Hg3 0.3750 0.2999 0.7500
Hg4 0.8750 0.9501 0.7500
Zr1 0.0000 0.0000 0.0000
Zr2 0.7500 0.2500 0.5000

Output
DFT total energy = -2.707 eV per atom
Space-group type = I-42d (122)


The following is a DFT calculation (GGA-PBE) of a relaxed SrEr2Sc crystal.

Cell: 3.5223 3.5223 12.5177 Å, 81.91 81.91 60.00°
Element x y z (fractional)
Sc1 0.5000 0.5000 0.5000
Sr1 0.0000 0.0000 0.0000
Er1 0.0956 0.0956 0.7132
Er2 0.9044 0.9044 0.2868

Output
E_form = 1.1 eV per formula unit
Space-group type = R-3m (166)


The following is a DFT calculation (GGA-PBE) of a relaxed LiY3Zn8 crystal.

Cell: 5.4037 5.4037 9.3722 Å, 73.24 73.24 60.00°
Element x y z (fractional)
Li1 0.8724 0.8724 0.3827
Y1 0.3777 0.3777 0.8668
Y2 0.9939 0.9939 0.0182
Y3 0.5035 0.5035 0.4896
Zn1 0.9356 0.4377 0.1889
Zn2 0.4388 0.9385 0.6843
Zn3 0.4377 0.4377 0.1889
Zn4 0.9385 0.9385 0.6843
Zn5 0.1882 0.1882 0.4355
Zn6 0.6874 0.6874 0.9377
Zn7 0.4377 0.9356 0.1889
Zn8 0.9385 0.4388 0.6843

Output
E_form = -3.7 eV per formula unit
Space-group type = R3m (160)


The following is a DFT calculation (GGA-PBE) of a relaxed Nd2Sm2Pd15 crystal.

Cell: 7.1608 7.1608 7.1608 Å, 81.02 81.02 81.02°
Element x y z (fractional)
Nd1 0.3626 0.3626 0.3626
Nd2 0.6374 0.6374 0.6374
Sm1 0.1086 0.1086 0.1086
Sm2 0.8914 0.8914 0.8914
Pd1 0.5000 0.0000 0.0000
Pd2 0.0000 0.0000 0.5000
Pd3 0.0000 0.5000 0.0000
Pd4 0.0000 0.6901 0.3099
Pd5 0.6901 0.3099 0.0000
Pd6 0.3099 0.0000 0.6901
Pd7 0.3099 0.6901 0.0000
Pd8 0.6901 0.0000 0.3099
Pd9 0.0000 0.3099 0.6901
Pd10 0.1621 0.6502 0.6502
Pd11 0.6502 0.6502 0.1621
Pd12 0.6502 0.1621 0.6502
Pd13 0.8379 0.3498 0.3498
Pd14 0.3498 0.3498 0.8379
Pd15 0.3498 0.8379 0.3498

Output
E_form = -10.4 eV per formula unit
Space-group type = R-3m (166)


The following is a DFT calculation (GGA-PBE) of a relaxed Mg5Bi2Sb2 crystal.

Cell: 4.5417 9.5312 12.1386 Å, 145.28 90.00 103.78°
Element x y z (fractional)
Mg1 0.3809 0.7617 0.1997
Mg2 0.6191 0.2383 0.8003
Mg3 0.1743 0.3487 0.4854
Mg4 0.8257 0.6513 0.5146
Mg5 0.0000 0.0000 0.0000
Bi1 0.1615 0.3230 0.7101
Bi2 0.8385 0.6770 0.2899
Sb1 0.4598 0.9197 0.7898
Sb2 0.5402 0.0803 0.2102

Output
DFT total energy = -2.854 eV per atom
Space-group type = C2/m (12)


The following is a DFT calculation (GGA-PBE) of a relaxed YbF3 crystal.

Cell: 3.6962 4.0603 3.6962 Å, 62.92 90.00 117.08°
Site moments in Bohr magnetons follow the coordinates.
Element x y z (fractional)
Yb1 0.0000 0.0000 0.0000  0.00
F1 0.7500 0.5000 0.7500  0.22
F2 0.2500 0.5000 0.2500  0.22
F3 0.5000 0.0000 0.5000  0.49

Output
DFT total energy = -4.768 eV per atom
Space-group type = I4/mmm (139)


The following is a DFT calculation (GGA-PBE) of a relaxed ThMgAgPt crystal.

Cell: 4.9799 4.9799 4.9799 Å, 60.00 60.00 60.00°
Element x y z (fractional)
Ag1 0.2500 0.2500 0.2500
Mg1 0.5000 0.5000 0.5000
Pt1 0.7500 0.7500 0.7500
Th1 0.0000 0.0000 0.0000

Output
E_form = -2.4 eV per formula unit
Space-group type = F-43m (216)


The following is a DFT calculation (GGA-PBE) of a relaxed Pm2In3Sn3 crystal.

Cell: 4.8712 4.6607 9.2966 Å, 90.00 90.00 90.00°
Element x y z (fractional)
Pm1 0.0000 0.0000 0.7487
Pm2 0.0000 0.0000 0.2513
In1 0.5000 0.5000 0.7537
In2 0.5000 0.5000 0.2463
In3 0.5000 0.0000 0.0000
Sn1 0.5000 0.0000 0.5000
Sn2 0.0000 0.5000 0.0000
Sn3 0.0000 0.5000 0.5000

Output
E_form = -3.9 eV per formula unit
Space-group type = Pmmm (47)


The following is a DFT calculation (GGA-PBE) of a relaxed Th4Bi3H4 crystal.

Cell: 4.0692 8.2296 8.8326 Å, 117.77 103.32 90.00°
Element x y z (fractional)
Th1 0.2014 0.7014 0.4028
Th2 0.7986 0.2986 0.5972
Th3 0.5000 0.7846 0.0000
Th4 0.5000 0.2154 0.0000
Bi1 0.1324 0.1324 0.2648
Bi2 0.8676 0.8676 0.7352
Bi3 0.0000 0.5000 0.0000
H1 0.3504 0.2091 0.7008
H2 0.6496 0.5083 0.2992
H3 0.6496 0.7909 0.2992
H4 0.3504 0.4917 0.7008

Output
DFT total energy = -5.341 eV per atom
Space-group type = Immm (71)


| no. | DOS(E_F) (states/eV/f.u.) |
| --- | --- |
| 1 | 1.02 |
| 2 | 23.05 |
| 3 | 1.69 |
| 4 | 4.18 |
| 5 | 6.01 |
| 6 | 5.55 |
| 7 | 16.72 |
| 8 | 1.30 |
| 9 | 2.70 |
| 10 | 2.17 |
| 11 | 3.74 |
| 12 | 6.41 |